La2AlCd at its PBEsol-relaxed geometry, computed with meta-GGA SCAN.

Summary:
ρ in Mg/m³: 6.5
Energy of formation from the pure elements in kJ/mol of formula units: -59.2
Uncorrected energy in eV/cell: -125.0

a = 3.3912 Å, b = 3.3912 Å, c = 9.3028 Å
α = 90.00°, β = 90.00°, γ = 90.00°
Fractional coordinates of all 4 atoms:
Al 0.0000 0.0000 0.5305
Cd 0.5000 0.5000 0.7083
La 0.5000 0.5000 0.2989
La 0.0000 0.0000 0.9623